#one
First-principles (PBE) data for a geometry-optimized HfAg2I structure, as listed in Alexandria via LeMat-Bulk.

Geometry as CIF:
```
data_HfAg2I
_chemical_formula_sum 'Hf2 Ag4 I2'
_symmetry_space_group_name_H-M 'P 1'
_symmetry_Int_Tables_number 1
_cell_length_a 3.6487
_cell_length_b 6.9822
_cell_length_c 7.8714
_cell_angle_alpha 83.55
_cell_angle_beta 89.41
_cell_angle_gamma 89.98
loop_
_symmetry_equiv_pos_as_xyz
'x,y,z'
loop_
_atom_site_label
_atom_site_type_symbol
_atom_site_fract_x
_atom_site_fract_y
_atom_site_fract_z
_atom_site_occupancy
Hf1 Hf 0.0000 0.0000 0.0000 1
Hf2 Hf 0.4975 0.6372 0.0848 1
Ag1 Ag 0.4895 0.4182 0.4714 1
Ag2 Ag 0.4933 0.0132 0.2892 1
Ag3 Ag 0.9919 0.7090 0.3546 1
Ag4 Ag 0.9948 0.3204 0.2241 1
I1 I 0.5024 0.3267 0.8421 1
I2 I 0.5074 0.8528 0.7375 1
```

Output
**Crystal system**: triclinic

#two
First-principles (PBE) data for a geometry-optimized HfAg2I structure, as listed in Alexandria via LeMat-Bulk.

Geometry as CIF:
```
data_HfAg2I
_chemical_formula_sum 'Hf2 Ag4 I2'
_symmetry_space_group_name_H-M 'I 4 m m'
_symmetry_Int_Tables_number 107
_symmetry_space_group_name_Hall 'I 4 -2'
_cell_length_a 3.4705
_cell_length_b 3.4705
_cell_length_c 15.8778
_cell_angle_alpha 90.00
_cell_angle_beta 90.00
_cell_angle_gamma 90.00
loop_
_atom_site_label
_atom_site_type_symbol
_atom_site_fract_x
_atom_site_fract_y
_atom_site_fract_z
_atom_site_occupancy
Hf1 Hf 0.0000 0.0000 0.0000 1
Ag1 Ag 0.0000 0.0000 0.3935 1
Ag2 Ag 0.0000 0.0000 0.8049 1
I1 I 0.0000 0.0000 0.6168 1
```

Output
**Crystal system**: tetragonal

Energy comparison, zero being the most stable, in kJ/mol of atoms: #one 0.0; #two 4.5.

#one
First-principles (PBE) data for a geometry-optimized NbRePt structure, as listed in Alexandria via LeMat-Bulk.

Geometry as CIF:
```
data_NbRePt
_chemical_formula_sum 'Nb2 Re2 Pt2'
_symmetry_space_group_name_H-M 'C 1 m 1'
_symmetry_Int_Tables_number 8
_cell_length_a 3.7823
_cell_length_b 4.0173
_cell_length_c 6.5698
_cell_angle_alpha 90.00
_cell_angle_beta 104.06
_cell_angle_gamma 90.00
loop_
_symmetry_equiv_pos_as_xyz
'x,y,z'
'x,-y,z'
'x+1/2,y+1/2,z'
'x+1/2,-y+1/2,z'
loop_
_atom_site_label
_atom_site_type_symbol
_atom_site_fract_x
_atom_site_fract_y
_atom_site_fract_z
_atom_site_occupancy
Nb1 Nb 0.0000 0.0000 0.0000 1
Re1 Re 0.2627 0.0000 0.6542 1
Pt1 Pt 0.1409 0.5000 0.3395 1
```

Output
**Crystal system**: monoclinic

#two
First-principles (PBE) data for a geometry-optimized NbRePt structure, as listed in Alexandria via LeMat-Bulk.

Geometry as CIF:
```
data_NbRePt
_chemical_formula_sum 'Nb2 Re2 Pt2'
_symmetry_space_group_name_H-M 'C 1 m 1'
_symmetry_Int_Tables_number 8
_cell_length_a 4.3777
_cell_length_b 3.3545
_cell_length_c 6.8737
_cell_angle_alpha 90.00
_cell_angle_beta 106.62
_cell_angle_gamma 90.00
loop_
_symmetry_equiv_pos_as_xyz
'x,y,z'
'x,-y,z'
'x+1/2,y+1/2,z'
'x+1/2,-y+1/2,z'
loop_
_atom_site_label
_atom_site_type_symbol
_atom_site_fract_x
_atom_site_fract_y
_atom_site_fract_z
_atom_site_occupancy
Nb1 Nb 0.0000 0.0000 0.0000 1
Re1 Re 0.1470 0.5000 0.3348 1
Pt1 Pt 0.3988 0.0000 0.6637 1
```

Output
**Crystal system**: monoclinic

Energy comparison, zero being the most stable, in kJ/mol of atoms: #one 0.0; #two 1.2.

#one
First-principles (PBE) data for a geometry-optimized LiTcIr2 structure, as listed in Alexandria via LeMat-Bulk.

Geometry as CIF:
```
data_LiTcIr2
_chemical_formula_sum 'Li1 Tc1 Ir2'
_symmetry_space_group_name_H-M 'P m m 2'
_symmetry_Int_Tables_number 25
_cell_length_a 2.7299
_cell_length_b 3.9466
_cell_length_c 5.1490
_cell_angle_alpha 90.00
_cell_angle_beta 90.00
_cell_angle_gamma 90.00
loop_
_symmetry_equiv_pos_as_xyz
'x,y,z'
'-x,-y,z'
'-x,y,z'
'x,-y,z'
loop_
_atom_site_label
_atom_site_type_symbol
_atom_site_fract_x
_atom_site_fract_y
_atom_site_fract_z
_atom_site_occupancy
Li1 Li 0.0000 0.0000 0.0000 1
Tc1 Tc 0.5000 0.5000 0.2682 1
Ir1 Ir 0.0000 0.0000 0.4987 1
Ir2 Ir 0.5000 0.5000 0.7964 1
```

Output
**Crystal system**: orthorhombic

#two
First-principles (PBE) data for a geometry-optimized LiTcIr2 structure, as listed in Alexandria via LeMat-Bulk.

Geometry as CIF:
```
data_LiTcIr2
_chemical_formula_sum 'Li1 Tc1 Ir2'
_symmetry_space_group_name_H-M 'P 1 m 1'
_symmetry_Int_Tables_number 6
_cell_length_a 2.6756
_cell_length_b 4.1006
_cell_length_c 5.1730
_cell_angle_alpha 90.00
_cell_angle_beta 104.66
_cell_angle_gamma 90.00
loop_
_symmetry_equiv_pos_as_xyz
'x,y,z'
'x,-y,z'
loop_
_atom_site_label
_atom_site_type_symbol
_atom_site_fract_x
_atom_site_fract_y
_atom_site_fract_z
_atom_site_occupancy
Li1 Li 0.0000 0.0000 0.0000 1
Tc1 Tc 0.2002 0.5000 0.2817 1
Ir1 Ir 0.4463 0.5000 0.8171 1
Ir2 Ir 0.8018 0.0000 0.4989 1
```

Output
**Crystal system**: monoclinic

Energy comparison, zero being the most stable, in kJ/mol of atoms: #one 0.0; #two 1.2.

#one
First-principles (PBE) data for a geometry-optimized NbSe2F structure, as listed in Alexandria via LeMat-Bulk.

Geometry as CIF:
```
data_NbSe2F
_chemical_formula_sum 'Nb4 Se8 F4'
_symmetry_space_group_name_H-M 'F m -3 m'
_symmetry_Int_Tables_number 225
_symmetry_space_group_name_Hall '-F 4 2 3'
_cell_length_a 6.4136
_cell_length_b 6.4136
_cell_length_c 6.4136
_cell_angle_alpha 90.00
_cell_angle_beta 90.00
_cell_angle_gamma 90.00
loop_
_atom_site_label
_atom_site_type_symbol
_atom_site_fract_x
_atom_site_fract_y
_atom_site_fract_z
_atom_site_occupancy
Nb1 Nb 0.0000 0.0000 0.0000 1
Se1 Se 0.2500 0.2500 0.2500 1
F1 F 0.0000 0.0000 0.5000 1
```

Output
**Crystal system**: cubic

#two
First-principles (PBE) data for a geometry-optimized NbSe2F structure, as listed in Alexandria via LeMat-Bulk.

Geometry as CIF:
```
data_NbSe2F
_chemical_formula_sum 'Nb4 Se8 F4'
_symmetry_space_group_name_H-M 'I -4 2 d'
_symmetry_Int_Tables_number 122
_symmetry_space_group_name_Hall 'I -4 2bw'
_cell_length_a 6.1995
_cell_length_b 6.1995
_cell_length_c 10.1919
_cell_angle_alpha 90.00
_cell_angle_beta 90.00
_cell_angle_gamma 90.00
loop_
_atom_site_label
_atom_site_type_symbol
_atom_site_fract_x
_atom_site_fract_y
_atom_site_fract_z
_atom_site_occupancy
Nb1 Nb 0.0000 0.0000 0.0000 1
Se1 Se 0.2262 0.2500 0.1250 1
F1 F 0.0000 0.0000 0.5000 1
```

Output
**Crystal system**: tetragonal

Energy comparison, zero being the most stable, in kJ/mol of atoms: #one 0.0; #two 0.8.